! Cs2CaVO4, optimized geometry, DFT GGA+U; values from VASP
! Final energy in eV per cell: -92.55
&SYSTEM
  ibrav = 0, nat = 16, ntyp = 4
/
ATOMIC_SPECIES
Cs 132.91 Cs.upf
Ca 40.08 Ca.upf
V 50.94 V.upf
O 16.00 O.upf
CELL_PARAMETERS angstrom
0.0000 6.4777 11.4579
2.9258 0.0000 11.4579
2.9258 6.4777 0.0000
ATOMIC_POSITIONS angstrom
Cs 2.1943 4.8583 1.3556
Cs 3.6572 8.0971 7.0846
Cs 2.1943 4.8583 15.8312
Cs 3.6572 8.0971 21.5602
Ca 0.7314 1.6194 2.8645
Ca 5.1201 11.3360 20.0513
V 2.1943 4.8583 8.5934
V 3.6572 8.0971 14.3224
O 3.4024 3.7402 7.7751
O 3.4024 5.9763 9.4117
O 4.8653 6.9791 15.1407
O 4.8653 9.2152 13.5041
O 0.9863 3.7402 9.4117
O 0.9863 5.9763 7.7751
O 2.4492 6.9791 13.5041
O 2.4492 9.2152 15.1407